# NaIn2SnI6 (PBE, optimized geometry)
data_NaIn2SnI6
_chemical_formula_sum 'Na3 In6 Sn3 I18'
_symmetry_space_group_name_H-M 'R 3'
_symmetry_Int_Tables_number 146
_symmetry_space_group_name_Hall 'R 3'
_cell_length_a 8.0539
_cell_length_b 8.0539
_cell_length_c 22.8797
_cell_angle_alpha 90.00
_cell_angle_beta 90.00
_cell_angle_gamma 120.00
loop_
_atom_site_label
_atom_site_type_symbol
_atom_site_fract_x
_atom_site_fract_y
_atom_site_fract_z
_atom_site_occupancy
Na1 Na 0.0000 0.0000 0.0000 1
In1 In 0.0000 0.0000 0.3087 1
In2 In 0.0000 0.0000 0.8137 1
Sn1 Sn 0.0000 0.0000 0.4924 1
I1 I 0.0116 0.6530 0.0701 1
I2 I 0.0257 0.3472 0.5680 1
# - E_form (uncorrected) (eV/atom) = -0.591

# Al2AgPb (PBE, optimized geometry)
data_Al2AgPb
_chemical_formula_sum 'Al2 Ag1 Pb1'
_symmetry_space_group_name_H-M 'P m m m'
_symmetry_Int_Tables_number 47
_symmetry_space_group_name_Hall '-P 2 2'
_cell_length_a 3.4636
_cell_length_b 4.8533
_cell_length_c 5.1418
_cell_angle_alpha 90.00
_cell_angle_beta 90.00
_cell_angle_gamma 90.00
loop_
_atom_site_label
_atom_site_type_symbol
_atom_site_fract_x
_atom_site_fract_y
_atom_site_fract_z
_atom_site_occupancy
Al1 Al 0.0000 0.0000 0.0000 1
Al2 Al 0.5000 0.5000 0.0000 1
Ag1 Ag 0.0000 0.5000 0.5000 1
Pb1 Pb 0.5000 0.0000 0.5000 1
# - raw total energy (eV per cell) = -12.93

# ZrInSN2 (PBE, optimized geometry)
data_ZrInSN2
_chemical_formula_sum 'Zr1 In1 S1 N2'
_symmetry_space_group_name_H-M 'P 4/m m m'
_symmetry_Int_Tables_number 123
_symmetry_space_group_name_Hall '-P 4 2'
_cell_length_a 4.0940
_cell_length_b 4.0940
_cell_length_c 4.9709
_cell_angle_alpha 90.00
_cell_angle_beta 90.00
_cell_angle_gamma 90.00
loop_
_atom_site_label
_atom_site_type_symbol
_atom_site_fract_x
_atom_site_fract_y
_atom_site_fract_z
_atom_site_occupancy
Zr1 Zr 0.0000 0.0000 0.0000 1
In1 In 0.5000 0.5000 0.5000 1
S1 S 0.5000 0.5000 0.0000 1
N1 N 0.0000 0.5000 0.5000 1
# - offset from the most stable computed form (meV/atom) = 746.7
# - E_form (uncorrected) (eV/atom) = 0.876

# Ce6DySn10 (PBE, optimized geometry)
data_Ce6DySn10
_chemical_formula_sum 'Ce6 Dy1 Sn10'
_symmetry_space_group_name_H-M 'P -3 1 m'
_symmetry_Int_Tables_number 162
_symmetry_space_group_name_Hall '-P 3 2'
_cell_length_a 9.3412
_cell_length_b 9.3412
_cell_length_c 6.3272
_cell_angle_alpha 90.00
_cell_angle_beta 90.00
_cell_angle_gamma 120.00
loop_
_atom_site_label
_atom_site_type_symbol
_atom_site_fract_x
_atom_site_fract_y
_atom_site_fract_z
_atom_site_occupancy
Ce1 Ce 0.0000 0.3875 0.2667 1
Dy1 Dy 0.0000 0.0000 0.5000 1
Sn1 Sn 0.0000 0.2623 0.7978 1
Sn2 Sn 0.3333 0.6667 0.0000 1
Sn3 Sn 0.3333 0.6667 0.5000 1
# - raw total energy (eV per cell) = -89.13

# SrMg2Tc2 (PBE, optimized geometry)
data_SrMg2Tc2
_chemical_formula_sum 'Sr2 Mg4 Tc4'
_symmetry_space_group_name_H-M 'I 4/m m m'
_symmetry_Int_Tables_number 139
_symmetry_space_group_name_Hall '-I 4 2'
_cell_length_a 3.5205
_cell_length_b 3.5205
_cell_length_c 20.3315
_cell_angle_alpha 90.00
_cell_angle_beta 90.00
_cell_angle_gamma 90.00
loop_
_atom_site_label
_atom_site_type_symbol
_atom_site_fract_x
_atom_site_fract_y
_atom_site_fract_z
_atom_site_occupancy
Sr1 Sr 0.0000 0.0000 0.0000 1
Mg1 Mg 0.0000 0.0000 0.3644 1
Tc1 Tc 0.0000 0.5000 0.2500 1
# - offset from the most stable computed form (meV/atom) = 0.0

# Pr2PuPaSe4 (PBE, optimized geometry)
data_Pr2PuPaSe4
_chemical_formula_sum 'Pr2 Pu1 Pa1 Se4'
_symmetry_space_group_name_H-M 'P 1 2/m 1'
_symmetry_Int_Tables_number 10
_symmetry_space_group_name_Hall '-P 2y'
_cell_length_a 7.2470
_cell_length_b 4.1520
_cell_length_c 7.2868
_cell_angle_alpha 90.00
_cell_angle_beta 109.09
_cell_angle_gamma 90.00
loop_
_atom_site_label
_atom_site_type_symbol
_atom_site_fract_x
_atom_site_fract_y
_atom_site_fract_z
_atom_site_occupancy
Pr1 Pr 0.0000 0.0000 0.0000 1
Pr2 Pr 0.5000 0.5000 0.0000 1
Pu1 Pu 0.0000 0.5000 0.5000 1
Pa1 Pa 0.5000 0.0000 0.5000 1
Se1 Se 0.2475 0.0000 0.7377 1
Se2 Se 0.2546 0.5000 0.2621 1
# - E_form (uncorrected) (eV/atom) = -1.598